1.
# SmHo6Er2Tm3

A relaxed structure of SmHo6Er2Tm3 (GGA-PBE, Alexandria via LeMat-Bulk).

It has space group C2/m (No. 12), with a = 6.098 Å, b = 10.549 Å, c = 11.665 Å, α = 90.00°, β = 99.99° and γ = 90.00°. The inequivalent atoms are Sm at (0.000, 0.000, 0.000), Ho at (0.249, 0.000, 0.748), Ho at (0.249, 0.333, 0.748), Er at (0.000, 0.333, 0.000), Tm at (0.000, 0.167, 0.500) and Tm at (0.000, 0.500, 0.500).

For the energy relative to the elements, the calculation gives 21 meV/atom. The calculation puts the density of states at the Fermi level at 32.436 states/eV per cell.

2.
# LiZnCu2F6

A relaxed structure of LiZnCu2F6 (GGA-PBE, Alexandria via LeMat-Bulk).

It has space group R3 (No. 146, hexagonal axes), with a = 5.2854 Å, b = 5.2854 Å, c = 14.3143 Å, α = 90.00°, β = 90.00° and γ = 120.00°. The inequivalent atoms are Li at (0.0000, 0.0000, 0.0000), Zn at (0.0000, 0.0000, 0.4930), Cu at (0.0000, 0.0000, 0.2916), Cu at (0.0000, 0.0000, 0.7923), F at (0.0304, 0.3522, 0.5600) and F at (0.0332, 0.6768, 0.0616).

Its energy relative to the elements, uncorrected is -1.925 eV/atom. The calculation puts the density of states at the Fermi level at 17.169 states/eV per cell.

3.
# NbCuTc2Sb

A relaxed structure of NbCuTc2Sb (GGA-PBE, Alexandria via LeMat-Bulk).

It has space group P4/mmm (No. 123), with a = 4.843 Å, b = 4.843 Å, c = 5.061 Å, α = 90.00°, β = 90.00° and γ = 90.00°. The inequivalent atoms are Nb at (0.000, 0.000, 0.000), Cu at (0.500, 0.500, 0.000), Tc at (0.000, 0.500, 0.500) and Sb at (0.000, 0.000, 0.500).

Its energy relative to the elements, uncorrected is 1.957 eV/atom. The calculation puts the density of states at the Fermi level at 7.357 states/eV per cell.

4.
# KZnTc2C

A relaxed structure of KZnTc2C (GGA-PBE, Alexandria via LeMat-Bulk).

It has space group P4/mmm (No. 123), with a = 4.632 Å, b = 4.632 Å, c = 4.364 Å, α = 90.00°, β = 90.00° and γ = 90.00°. The inequivalent atoms are K at (0.000, 0.000, 0.000), Zn at (0.500, 0.500, 0.500), Tc at (0.000, 0.500, 0.000) and C at (0.000, 0.000, 0.500).

For the energy relative to the elements, the calculation gives 3503 meV/atom. The calculation puts the density of states at the Fermi level at 5.423 states/eV per cell.

5.
# BaZnIn2Rh2

A relaxed structure of BaZnIn2Rh2 (GGA-PBE, Alexandria via LeMat-Bulk).

It has space group P4/mmm (No. 123), with a = 4.761 Å, b = 4.761 Å, c = 6.323 Å, α = 90.00°, β = 90.00° and γ = 90.00°. The inequivalent atoms are Ba at (0.000, 0.000, 0.000), Zn at (0.000, 0.000, 0.500), In at (0.500, 0.500, 0.256) and Rh at (0.000, 0.500, 0.500).

For the energy relative to the elements, the calculation gives -312 meV/atom. The calculation puts the density of states at the Fermi level at 5.895 states/eV per cell.

6.
# SiSeO3

A relaxed structure of SiSeO3 (GGA-PBE, Alexandria via LeMat-Bulk).

It has space group Pm-3m (No. 221), with a = 3.918 Å, b = 3.918 Å, c = 3.918 Å, α = 90.00°, β = 90.00° and γ = 90.00°. The inequivalent atoms are Si at (0.000, 0.000, 0.000), Se at (0.500, 0.500, 0.500) and O at (0.000, 0.500, 0.500).

Its energy relative to the elements, uncorrected is -0.078 eV/atom. The calculation puts the density of states at the Fermi level at 0.240 states/eV per cell.

7.
# PrYHoHg

A relaxed structure of PrYHoHg (GGA-PBE, Alexandria via LeMat-Bulk).

It has space group F-43m (No. 216), with a = 7.757 Å, b = 7.757 Å, c = 7.757 Å, α = 90.00°, β = 90.00° and γ = 90.00°. The inequivalent atoms are Pr at (0.000, 0.000, 0.000), Y at (0.000, 0.000, 0.500), Ho at (0.250, 0.250, 0.250) and Hg at (0.250, 0.250, 0.750).

For the energy relative to the elements, the calculation gives -65 meV/atom. The calculation puts the density of states at the Fermi level at 21.889 states/eV per cell.

8.
# SrMgF5

A relaxed structure of SrMgF5 (GGA-PBE, Alexandria via LeMat-Bulk).

It has space group P4/mmm (No. 123), with a = 3.525 Å, b = 3.525 Å, c = 6.909 Å, α = 90.00°, β = 90.00° and γ = 90.00°. The inequivalent atoms are Sr at (0.000, 0.000, 0.000), Mg at (0.000, 0.000, 0.500), F at (0.000, 0.500, 0.317) and F at (0.500, 0.500, 0.000).

Its energy relative to the elements, uncorrected is -2.963 eV/atom. The calculation puts the density of states at the Fermi level at 3.733 states/eV per cell.

9.
# Nd6InGe2I3

A relaxed structure of Nd6InGe2I3 (GGA-PBE, Alexandria via LeMat-Bulk).

It has space group C2/m (No. 12), with a = 19.935 Å, b = 4.358 Å, c = 9.313 Å, α = 90.00°, β = 105.53° and γ = 90.00°. The inequivalent atoms are Nd at (0.014, 0.000, 0.245), Nd at (0.163, 0.500, 0.124), Nd at (0.179, 0.500, 0.560), In at (0.000, 0.500, 0.000), Ge at (0.168, 0.000, 0.340), I at (0.000, 0.500, 0.500) and I at (0.166, 0.000, 0.835).

Its energy relative to the elements, uncorrected is -0.889 eV/atom. The calculation puts the density of states at the Fermi level at 12.517 states/eV per cell.

10.
# PaMnFePt

A relaxed structure of PaMnFePt (GGA-PBE, Alexandria via LeMat-Bulk).

It has space group F-43m (No. 216), with a = 6.556 Å, b = 6.556 Å, c = 6.556 Å, α = 90.00°, β = 90.00° and γ = 90.00°. The inequivalent atoms are Pa at (0.000, 0.000, 0.000), Mn at (0.000, 0.000, 0.500), Fe at (0.250, 0.250, 0.750) and Pt at (0.250, 0.250, 0.250).

For the energy relative to the elements, the calculation gives -180 meV/atom. The calculation puts the density of states at the Fermi level at 15.924 states/eV per cell.